No. 1
First-principles (PBE) data for a relaxed structure of ZrTi5I12, as listed in the Alexandria database.

Cell: 6.9218 6.9218 15.5891 Å, 90.34 90.34 121.97°
Positions (direct):
Zr (0.0000, 0.0000, 0.0000)
Ti (0.1453, 0.8547, 0.5000)
Ti (0.3824, 0.6176, 0.0000)
Ti (0.5000, 0.5000, 0.5000)
Ti (0.6176, 0.3824, 0.0000)
Ti (0.8547, 0.1453, 0.5000)
I (0.0010, 0.6531, 0.1077)
I (0.1668, 0.5100, 0.3938)
I (0.1733, 0.1733, 0.6214)
I (0.3290, 0.3290, 0.1300)
I (0.3469, 0.9990, 0.8923)
I (0.4900, 0.8332, 0.6062)
I (0.5100, 0.1668, 0.3938)
I (0.6531, 0.0010, 0.1077)
I (0.6710, 0.6710, 0.8700)
I (0.8267, 0.8267, 0.3786)
I (0.8332, 0.4900, 0.6062)
I (0.9990, 0.3469, 0.8923)

## Properties
Its formation energy (no corrections) is -0.663 eV per atom. As for the symmetry: C2/m, No. 12. Its magnetic moment is 6.01 μB/f.u. The density of states at the Fermi level is 0.463 states/eV per atom.

***

No. 2
First-principles (PBE) data for a relaxed structure of PmPuTcPt, as listed in the Alexandria database.

Cell: 4.9282 4.9282 4.9282 Å, 60.00 60.00 60.00°
Positions (direct):
Pm (0.0000, 0.0000, 0.0000)
Pu (0.5000, 0.5000, 0.5000)
Tc (0.2500, 0.2500, 0.2500)
Pt (0.7500, 0.7500, 0.7500)

## Properties
For the energy of formation, the calculation gives -0.28 eV/atom. As for the symmetry: F-43m, No. 216. Its magnetic moment is 4.28 μB/f.u. The density of states at the Fermi level is 1.806 states/eV per atom.

***

No. 3
First-principles (PBE) data for a relaxed structure of KBa2Se, as listed in the Alexandria database.

Cell: 12.2758 12.2758 12.2758 Å, 21.51 21.51 21.51°
Positions (direct):
K (0.0000, 0.0000, 0.0000)
Ba (0.5535, 0.5535, 0.5535)
Ba (0.7794, 0.7794, 0.7794)
Se (0.1663, 0.1663, 0.1663)

## Properties
Its formation energy (no corrections) is -0.924 eV per atom. As for the symmetry: R3m, No. 160. Its magnetic moment is 0.00 μB/f.u. The density of states at the Fermi level is 0.867 states/eV per atom.

***

No. 4
First-principles (PBE) data for a relaxed structure of Rb2BaOsI6, as listed in the Alexandria database.

Cell: 8.5644 8.5644 8.5644 Å, 60.00 60.00 60.00°
Positions (direct):
Rb (0.2500, 0.2500, 0.2500)
Rb (0.7500, 0.7500, 0.7500)
Ba (0.0000, 0.0000, 0.0000)
Os (0.5000, 0.5000, 0.5000)
I (0.2760, 0.2760, 0.7240)
I (0.2760, 0.7240, 0.2760)
I (0.2760, 0.7240, 0.7240)
I (0.7240, 0.2760, 0.2760)
I (0.7240, 0.2760, 0.7240)
I (0.7240, 0.7240, 0.2760)

## Properties
Its formation energy (no corrections) is -0.853 eV per atom. As for the symmetry: Fm-3m, No. 225. Its magnetic moment is 0.00 μB/f.u. The density of states at the Fermi level is 0.000 states/eV per atom.

***

No. 5
First-principles (PBE) data for a relaxed structure of LiTaZn2, as listed in the Alexandria database.

Cell: 4.9807 4.9807 2.6543 Å, 90.00 90.00 104.84°
Positions (direct):
Li (0.0000, 0.0000, 0.0000)
Ta (0.5000, 0.5000, 0.0000)
Zn (0.0000, 0.5000, 0.5000)
Zn (0.5000, 0.0000, 0.5000)

## Properties
For the energy of formation, the calculation gives 0.00 eV/atom. As for the symmetry: Cmmm, No. 65. Its magnetic moment is 0.00 μB/f.u. The density of states at the Fermi level is 0.588 states/eV per atom.

***

No. 6
First-principles (PBE) data for a relaxed structure of Ba3Sr6Ac, as listed in the Alexandria database.

Cell: 16.8195 4.2922 17.3536 Å, 90.00 114.13 90.00°
Positions (direct):
Ba (0.0432, 0.2500, 0.1203)
Ba (0.1311, 0.2500, 0.5811)
Ba (0.3817, 0.7500, 0.5426)
Ba (0.6183, 0.2500, 0.4574)
Ba (0.8689, 0.7500, 0.4189)
Ba (0.9568, 0.7500, 0.8797)
Sr (0.1083, 0.7500, 0.3551)
Sr (0.1476, 0.2500, 0.8315)
Sr (0.2273, 0.7500, 0.0588)
Sr (0.3061, 0.2500, 0.3019)
Sr (0.3341, 0.7500, 0.7903)
Sr (0.4733, 0.7500, 0.2263)
Sr (0.5267, 0.2500, 0.7737)
Sr (0.6659, 0.2500, 0.2097)
Sr (0.6939, 0.7500, 0.6981)
Sr (0.7727, 0.2500, 0.9412)
Sr (0.8524, 0.7500, 0.1685)
Sr (0.8917, 0.2500, 0.6449)
Ac (0.4098, 0.2500, 0.0073)
Ac (0.5902, 0.7500, 0.9927)

## Properties
For the energy of formation, the calculation gives 0.06 eV/atom. As for the symmetry: P2_1/m, No. 11. Its magnetic moment is 0.00 μB/f.u. The density of states at the Fermi level is 1.396 states/eV per atom.